The following is a DFT calculation (PBE) of an optimized crystal structure of Al2CrTcAs.

a b c (Å): 4.667 4.413 4.667
angles (deg): 90.00 90.00 90.00
Fractional coordinates of all 5 atoms:
Al: 0.500 0.000 0.000
Al: 0.000 0.000 0.500
Tc: 0.500 0.500 0.500
Cr: 0.000 0.500 0.000
As: 0.000 0.000 0.000

Summary:
DOS at the Fermi energy (states/eV/f.u.): 3.97
Energy of formation (eV per atom): 1.14
SG: P4/mmm, No. 123

---

The following is a DFT calculation (PBE) of an optimized crystal structure of LaTcP2Pd.

a b c (Å): 3.996 3.996 6.437
angles (deg): 108.08 108.08 90.00
Fractional coordinates of all 5 atoms:
P: 0.636 0.636 0.273
P: 0.364 0.364 0.727
Tc: 0.750 0.250 0.500
Pd: 0.250 0.750 0.500
La: 0.000 0.000 0.000

Summary:
DOS at the Fermi energy (states/eV/f.u.): 2.22
Energy of formation (eV per atom): -0.91
SG: I-4m2, No. 119

---

The following is a DFT calculation (PBE) of an optimized crystal structure of TlSb2F11.

a b c (Å): 9.856 8.942 8.942
angles (deg): 65.62 56.56 56.56
Fractional coordinates of all 28 atoms:
F: 0.201 0.227 0.773
F: 0.620 0.654 0.585
F: 0.062 0.121 0.641
F: 0.676 0.621 0.141
F: 0.359 0.846 0.915
F: 0.299 0.727 0.273
F: 0.500 0.500 0.500
F: 0.824 0.359 0.879
F: 0.641 0.154 0.085
F: 0.141 0.585 0.654
F: 0.438 0.859 0.379
F: 0.380 0.346 0.415
F: 0.859 0.415 0.346
F: 0.701 0.273 0.727
F: 0.562 0.141 0.621
F: 0.880 0.915 0.846
F: 0.799 0.773 0.227
F: 0.176 0.641 0.121
F: 0.000 0.000 0.000
F: 0.938 0.879 0.359
F: 0.120 0.085 0.154
F: 0.324 0.379 0.859
Tl: 0.750 0.750 0.750
Tl: 0.250 0.250 0.250
Sb: 0.156 0.856 0.144
Sb: 0.656 0.644 0.356
Sb: 0.344 0.356 0.644
Sb: 0.844 0.144 0.856

Summary:
Energy relative to the elements, uncorrected (kJ per mole of atoms): -220
DOS at the Fermi energy (states/eV/f.u.): 0.00
SG: Ibam, No. 72

---

The following is a DFT calculation (PBE) of an optimized crystal structure of CuReNi2N.

a b c (Å): 3.788 3.788 3.954
angles (deg): 90.00 90.00 90.00
Fractional coordinates of all 5 atoms:
Ni: 0.000 0.500 0.000
Ni: 0.500 0.000 0.000
Re: 0.000 0.000 0.500
N: 0.000 0.000 0.000
Cu: 0.500 0.500 0.500

Summary:
Energy relative to the elements, uncorrected (kJ per mole of atoms): 14
DOS at the Fermi energy (states/eV/f.u.): 6.62
SG: P4/mmm, No. 123

---

The following is a DFT calculation (PBE) of an optimized crystal structure of KRbMnSe3.

a b c (Å): 6.838 8.023 8.624
angles (deg): 117.72 90.00 90.00
Fractional coordinates of all 12 atoms:
Mn: 0.250 0.046 0.093
Mn: 0.750 0.954 0.907
K: 0.250 0.404 0.809
K: 0.750 0.596 0.191
Se: 0.500 0.201 0.000
Se: 0.250 0.200 0.399
Se: 0.000 0.799 0.000
Se: 0.000 0.201 0.000
Se: 0.500 0.799 0.000
Se: 0.750 0.800 0.601
Rb: 0.750 0.198 0.396
Rb: 0.250 0.802 0.604

Summary:
Energy relative to the elements, uncorrected (kJ per mole of atoms): -76
DOS at the Fermi energy (states/eV/f.u.): 1.58
SG: Cmcm, No. 63

---

The following is a DFT calculation (PBE) of an optimized crystal structure of ZrCdTcO6.

a b c (Å): 5.369 5.369 9.583
angles (deg): 90.00 90.00 120.00
Fractional coordinates of all 18 atoms:
Zr: 0.667 0.333 0.250
Zr: 0.333 0.667 0.750
O: 0.376 0.024 0.637
O: 0.351 0.376 0.363
O: 0.624 0.976 0.363
O: 0.024 0.649 0.363
O: 0.976 0.351 0.637
O: 0.649 0.024 0.863
O: 0.976 0.624 0.863
O: 0.649 0.624 0.637
O: 0.376 0.351 0.863
O: 0.624 0.649 0.137
O: 0.024 0.376 0.137
O: 0.351 0.976 0.137
Tc: 0.667 0.333 0.750
Tc: 0.333 0.667 0.250
Cd: 0.000 0.000 0.500
Cd: 0.000 0.000 0.000

Summary:
Energy relative to the elements, uncorrected (kJ per mole of atoms): -177
DOS at the Fermi energy (states/eV/f.u.): 3.40
SG: P-31c, No. 163

---

The following is a DFT calculation (PBE) of an optimized crystal structure of AcEr3Ir.

a b c (Å): 5.463 5.463 5.463
angles (deg): 90.00 90.00 90.00
Fractional coordinates of all 5 atoms:
Er: 0.000 0.500 0.000
Er: 0.500 0.000 0.000
Er: 0.000 0.000 0.500
Ir: 0.000 0.000 0.000
Ac: 0.500 0.500 0.500

Summary:
DOS at the Fermi energy (states/eV/f.u.): 5.87
Energy of formation (eV per atom): -0.36
SG: Pm-3m, No. 221

---

The following is a DFT calculation (PBE) of an optimized crystal structure of Mo3Os2.

a b c (Å): 11.713 11.713 11.713
angles (deg): 13.53 13.53 13.53
Fractional coordinates of all 5 atoms:
Os: 0.399 0.399 0.399
Os: 0.601 0.601 0.601
Mo: 0.202 0.202 0.202
Mo: 0.798 0.798 0.798
Mo: 0.000 0.000 0.000

Summary:
DOS at the Fermi energy (states/eV/f.u.): 3.67
Energy of formation (eV per atom): 0.17
SG: R-3m, No. 166

---

The following is a DFT calculation (PBE) of an optimized crystal structure of Nd3PI3.

a b c (Å): 4.250 9.131 12.430
angles (deg): 90.38 90.00 90.00
Fractional coordinates of all 14 atoms:
I: 0.250 0.383 0.366
I: 0.250 0.860 0.880
I: 0.750 0.140 0.120
I: 0.250 0.375 0.877
I: 0.750 0.617 0.634
I: 0.750 0.625 0.123
P: 0.750 0.117 0.616
P: 0.250 0.883 0.384
Nd: 0.750 0.120 0.840
Nd: 0.250 0.910 0.611
Nd: 0.250 0.320 0.624
Nd: 0.250 0.880 0.160
Nd: 0.750 0.090 0.389
Nd: 0.750 0.680 0.376

Summary:
Energy relative to the elements, uncorrected (kJ per mole of atoms): -133
DOS at the Fermi energy (states/eV/f.u.): 3.58
SG: P2_1/m, No. 11

---

The following is a DFT calculation (PBE) of an optimized crystal structure of Bi4TePd15.

a b c (Å): 4.129 4.129 20.693
angles (deg): 90.00 90.00 90.00
Fractional coordinates of all 20 atoms:
Pd: 0.000 0.500 0.500
Pd: 0.000 0.500 0.700
Pd: 0.500 0.000 0.300
Pd: 0.000 0.500 0.300
Pd: 0.500 0.000 0.500
Pd: 0.500 0.500 0.799
Pd: 0.500 0.000 0.099
Pd: 0.500 0.000 0.700
Pd: 0.500 0.500 0.599
Pd: 0.500 0.500 0.201
Pd: 0.000 0.500 0.901
Pd: 0.500 0.000 0.901
Pd: 0.500 0.500 0.401
Pd: 0.000 0.500 0.099
Pd: 0.500 0.500 0.000
Bi: 0.000 0.000 0.601
Bi: 0.000 0.000 0.803
Bi: 0.000 0.000 0.399
Bi: 0.000 0.000 0.197
Te: 0.000 0.000 0.000

Summary:
Energy relative to the elements, uncorrected (kJ per mole of atoms): -21
DOS at the Fermi energy (states/eV/f.u.): 17.91
SG: P4/mmm, No. 123

---

The following is a DFT calculation (PBE) of an optimized crystal structure of MgInPdPt.

a b c (Å): 4.583 4.583 4.583
angles (deg): 60.00 60.00 60.00
Fractional coordinates of all 4 atoms:
In: 0.000 0.000 0.000
Pt: 0.750 0.750 0.750
Pd: 0.250 0.250 0.250
Mg: 0.500 0.500 0.500

Summary:
DOS at the Fermi energy (states/eV/f.u.): 1.53
Energy of formation (eV per atom): -0.69
SG: F-43m, No. 216

---

The following is a DFT calculation (PBE) of an optimized crystal structure of PrCuH3.

a b c (Å): 3.710 3.710 3.710
angles (deg): 90.00 90.00 90.00
Fractional coordinates of all 5 atoms:
Pr: 0.500 0.500 0.500
Cu: 0.000 0.000 0.000
H: 0.000 0.500 0.000
H: 0.000 0.000 0.500
H: 0.500 0.000 0.000

Summary:
DOS at the Fermi energy (states/eV/f.u.): 2.35
Total energy (eV per formula unit): -20.1
SG: Pm-3m, No. 221

---

The following is a DFT calculation (PBE) of an optimized crystal structure of Nd12Cr3H5.

a b c (Å): 13.759 13.759 13.759
angles (deg): 109.47 109.47 109.47
Fractional coordinates of all 80 atoms:
H: 0.125 0.750 0.375
H: 0.500 0.000 0.500
H: 0.625 0.750 0.875
H: 0.000 0.500 0.500
H: 0.000 0.000 0.500
H: 0.500 0.000 0.000
H: 0.500 0.500 0.500
H: 0.000 0.000 0.000
H: 0.500 0.500 0.000
H: 0.875 0.625 0.750
H: 0.250 0.375 0.625
H: 0.000 0.500 0.000
H: 0.375 0.250 0.125
H: 0.750 0.125 0.875
H: 0.375 0.125 0.750
H: 0.750 0.625 0.375
H: 0.125 0.375 0.250
H: 0.875 0.250 0.625
H: 0.625 0.875 0.250
H: 0.250 0.875 0.125
Cr: 0.875 0.125 0.250
Cr: 0.250 0.125 0.375
Cr: 0.125 0.250 0.875
Cr: 0.375 0.625 0.250
Cr: 0.125 0.875 0.750
Cr: 0.750 0.375 0.125
Cr: 0.625 0.250 0.375
Cr: 0.875 0.750 0.125
Cr: 0.750 0.875 0.625
Cr: 0.625 0.375 0.750
Cr: 0.375 0.750 0.625
Cr: 0.250 0.625 0.875
Nd: 0.595 0.710 0.690
Nd: 0.690 0.479 0.595
Nd: 0.690 0.210 0.595
Nd: 0.790 0.479 0.384
Nd: 0.021 0.616 0.710
Nd: 0.979 0.595 0.190
Nd: 0.405 0.116 0.595
Nd: 0.595 0.884 0.405
Nd: 0.095 0.905 0.384
Nd: 0.405 0.021 0.310
Nd: 0.616 0.021 0.210
Nd: 0.521 0.210 0.116
Nd: 0.810 0.905 0.290
Nd: 0.810 0.905 0.021
Nd: 0.790 0.310 0.905
Nd: 0.595 0.979 0.690
Nd: 0.405 0.384 0.595
Nd: 0.021 0.405 0.810
Nd: 0.290 0.884 0.979
Nd: 0.095 0.190 0.479
Nd: 0.884 0.290 0.479
Nd: 0.095 0.905 0.116
Nd: 0.210 0.690 0.095
Nd: 0.521 0.310 0.905
Nd: 0.190 0.095 0.979
Nd: 0.905 0.095 0.616
Nd: 0.210 0.521 0.616
Nd: 0.979 0.384 0.290
Nd: 0.190 0.095 0.710
Nd: 0.384 0.405 0.095
Nd: 0.310 0.521 0.405
Nd: 0.310 0.790 0.405
Nd: 0.405 0.290 0.310
Nd: 0.884 0.595 0.905
Nd: 0.095 0.190 0.210
Nd: 0.905 0.810 0.521
Nd: 0.905 0.095 0.884
Nd: 0.479 0.790 0.884
Nd: 0.116 0.710 0.521
Nd: 0.616 0.595 0.905
Nd: 0.479 0.690 0.095
Nd: 0.710 0.595 0.190
Nd: 0.116 0.405 0.095
Nd: 0.905 0.810 0.790
Nd: 0.384 0.979 0.790
Nd: 0.290 0.405 0.810
Nd: 0.595 0.616 0.405
Nd: 0.710 0.116 0.021

Summary:
DOS at the Fermi energy (states/eV/f.u.): 20.31
Total energy (eV per formula unit): -101.7
SG: Ia-3d, No. 230

---

The following is a DFT calculation (PBE) of an optimized crystal structure of LaScIn.

a b c (Å): 3.467 3.467 8.229
angles (deg): 90.00 90.00 120.00
Fractional coordinates of all 3 atoms:
Sc: 0.667 0.333 0.686
La: 0.333 0.667 0.331
In: 0.000 0.000 0.983

Summary:
DOS at the Fermi energy (states/eV/f.u.): 3.99
Energy of formation (eV per atom): -0.11
SG: P3m1, No. 156

---

The following is a DFT calculation (PBE) of an optimized crystal structure of RbTlSe2.

a b c (Å): 15.854 15.854 4.527
angles (deg): 90.00 90.00 163.66
Fractional coordinates of all 8 atoms:
Se: 0.017 0.983 0.750
Se: 0.198 0.802 0.250
Se: 0.983 0.017 0.250
Se: 0.802 0.198 0.750
Tl: 0.707 0.293 0.750
Tl: 0.293 0.707 0.250
Rb: 0.904 0.096 0.750
Rb: 0.096 0.904 0.250

Summary:
Energy relative to the elements, uncorrected (kJ per mole of atoms): -42
DOS at the Fermi energy (states/eV/f.u.): 2.25
SG: Cmcm, No. 63

---

The following is a DFT calculation (PBE) of an optimized crystal structure of CdHg2Ir.

a b c (Å): 7.064 7.064 7.064
angles (deg): 155.61 141.74 45.90
Fractional coordinates of all 4 atoms:
Cd: 0.250 0.750 0.500
Ir: 0.750 0.250 0.500
Hg: 0.566 0.566 0.000
Hg: 0.934 0.934 0.000

Summary:
DOS at the Fermi energy (states/eV/f.u.): 1.71
Energy of formation (eV per atom): 0.20
SG: Immm, No. 71

---

The following is a DFT calculation (PBE) of an optimized crystal structure of ZnSi2Cl.

a b c (Å): 5.645 5.645 7.270
angles (deg): 67.16 67.16 90.00
Fractional coordinates of all 8 atoms:
Cl: 0.250 0.750 0.500
Cl: 0.500 0.500 0.000
Si: 0.375 0.324 0.750
Si: 0.074 0.625 0.250
Si: 0.875 0.926 0.750
Si: 0.676 0.125 0.250
Zn: 0.750 0.250 0.500
Zn: 0.000 0.000 0.000

Summary:
Energy relative to the elements, uncorrected (kJ per mole of atoms): 57
DOS at the Fermi energy (states/eV/f.u.): 3.09
SG: I-42d, No. 122

---

The following is a DFT calculation (PBE) of an optimized crystal structure of Sr3GaAg3.

a b c (Å): 6.435 9.411 9.411
angles (deg): 120.00 90.00 90.00
Fractional coordinates of all 14 atoms:
Sr: 0.750 0.368 0.066
Sr: 0.750 0.698 0.632
Sr: 0.750 0.934 0.302
Sr: 0.250 0.066 0.698
Sr: 0.250 0.632 0.934
Sr: 0.250 0.302 0.368
Ag: 0.750 0.622 0.932
Ag: 0.250 0.690 0.622
Ag: 0.750 0.310 0.378
Ag: 0.250 0.378 0.068
Ag: 0.250 0.932 0.310
Ag: 0.750 0.068 0.690
Ga: 0.250 0.667 0.333
Ga: 0.750 0.333 0.667

Summary:
DOS at the Fermi energy (states/eV/f.u.): 4.55
Energy of formation (eV per atom): -0.13
SG: P6_3/m, No. 176

---

The following is a DFT calculation (PBE) of an optimized crystal structure of Ac2La2NdSm.

a b c (Å): 6.058 10.450 7.301
angles (deg): 90.00 90.00 90.00
Fractional coordinates of all 12 atoms:
Nd: 0.000 0.000 0.000
Nd: 0.500 0.500 0.500
La: 0.500 0.833 0.750
La: 0.000 0.667 0.250
La: 0.000 0.333 0.750
La: 0.500 0.167 0.250
Ac: 0.500 0.167 0.750
Ac: 0.000 0.667 0.750
Ac: 0.000 0.333 0.250
Ac: 0.500 0.833 0.250
Sm: 0.000 0.000 0.500
Sm: 0.500 0.500 0.000

Summary:
DOS at the Fermi energy (states/eV/f.u.): 8.83
Energy of formation (eV per atom): 0.08
SG: Pnnm, No. 58

---

The following is a DFT calculation (PBE) of an optimized crystal structure of MgInRuRh.

a b c (Å): 4.499 4.499 4.499
angles (deg): 60.00 60.00 60.00
Fractional coordinates of all 4 atoms:
Ru: 0.750 0.750 0.750
Mg: 0.500 0.500 0.500
Rh: 0.250 0.250 0.250
In: 0.000 0.000 0.000

Summary:
DOS at the Fermi energy (states/eV/f.u.): 6.18
Energy of formation (eV per atom): -0.20
SG: F-43m, No. 216